# 1
First-principles (PBE) data for an optimized crystal structure of Pu2CdOs, as listed in OQMD.

The calculation puts the formation energy at -0.8 eV/f.u. The calculation puts the energy at -41.2 eV/cell.

It has space group P4/mmm (No. 123), with a = 3.218 Å, b = 3.218 Å, c = 8.709 Å, α = 90.00°, β = 90.00° and γ = 90.00°. The inequivalent atoms are Pu at (0.000, 0.000, 0.207), Cd at (0.500, 0.500, 0.500) and Os at (0.500, 0.500, 0.000).

# 2
First-principles (PBE) data for an optimized crystal structure of RbCdOs, as listed in OQMD.

The calculation puts the energy at -32.1 eV/cell.

It has space group F-43m (No. 216), with a = 6.960 Å, b = 6.960 Å, c = 6.960 Å, α = 90.00°, β = 90.00° and γ = 90.00°. The inequivalent atoms are Rb at (0.000, 0.000, 0.000), Cd at (0.000, 0.000, 0.500) and Os at (0.250, 0.250, 0.750).